Entry 1:
A plane-wave DFT calculation with GGA-PBE was carried out for crystalline Cu4Te3 at its relaxed geometry.

Summary:
Energy relative to the lowest polymorph listed for this composition in meV/atom: 89
E_form (uncorrected) in kJ per mole of atoms: 16.2
VASP energy in eV for the cell shown: -24.63
Symmetry: P-43m, No. 215

a b c (Å): 6.142 6.142 6.142
angles (deg): 90.00 90.00 90.00
Element x y z (fractional)
1 Cu 0.314 0.314 0.686
2 Te 0.000 0.500 0.500
3 Cu 0.686 0.314 0.314
4 Te 0.500 0.000 0.500
5 Te 0.500 0.500 0.000
6 Cu 0.314 0.686 0.314
7 Cu 0.686 0.686 0.686

---

Entry 2:
A plane-wave DFT calculation with GGA-PBE was carried out for crystalline Cu3Te at its relaxed geometry.

Summary:
E_form (uncorrected) in kJ per mole of atoms: 12.3
VASP energy in eV for the cell shown: -59.68
Symmetry: Pnma, No. 62

a b c (Å): 5.206 6.238 7.975
angles (deg): 90.00 90.00 90.00
Element x y z (fractional)
1 Cu 0.047 0.855 0.750
2 Cu 0.662 0.345 0.466
3 Cu 0.162 0.155 0.966
4 Cu 0.453 0.355 0.750
5 Cu 0.838 0.845 0.466
6 Cu 0.662 0.345 0.034
7 Te 0.958 0.439 0.750
8 Cu 0.547 0.645 0.250
9 Te 0.542 0.939 0.750
10 Cu 0.162 0.155 0.534
11 Cu 0.338 0.655 0.534
12 Cu 0.838 0.845 0.034
13 Te 0.458 0.061 0.250
14 Cu 0.338 0.655 0.966
15 Te 0.042 0.561 0.250
16 Cu 0.953 0.145 0.250

---

Entry 3:
A plane-wave DFT calculation with GGA-PBE was carried out for crystalline CuTe5 at its relaxed geometry.

Summary:
Energy relative to the lowest polymorph listed for this composition in meV/atom: 0
E_form (uncorrected) in kJ per mole of atoms: 8.0
VASP energy in eV for the cell shown: -19.31
Symmetry: Cm, No. 8

a b c (Å): 7.664 7.664 7.263
angles (deg): 103.40 103.40 30.94
Element x y z (fractional)
1 Te 0.697 0.697 0.258
2 Te 0.050 0.050 0.260
3 Te 0.287 0.287 0.824
4 Te 0.448 0.448 0.698
5 Cu 0.998 0.998 0.905
6 Te 0.353 0.353 0.222

---

Entry 4:
A plane-wave DFT calculation with GGA-PBE was carried out for crystalline Cu4Te3 at its relaxed geometry.

Summary:
Energy relative to the lowest polymorph listed for this composition in meV/atom: 105
E_form (uncorrected) in kJ per mole of atoms: 17.8
VASP energy in eV for the cell shown: -24.52
Symmetry: Pm-3m, No. 221

a b c (Å): 5.401 5.401 5.401
angles (deg): 90.00 90.00 90.00
Element x y z (fractional)
1 Cu 0.500 0.500 0.000
2 Te 0.000 0.500 0.000
3 Cu 0.000 0.000 0.000
4 Te 0.500 0.000 0.000
5 Te 0.000 0.000 0.500
6 Cu 0.500 0.000 0.500
7 Cu 0.000 0.500 0.500

---

Entry 5:
A plane-wave DFT calculation with GGA-PBE was carried out for crystalline CuTe5 at its relaxed geometry.

Summary:
Energy relative to the lowest polymorph listed for this composition in meV/atom: 617
E_form (uncorrected) in kJ per mole of atoms: 67.6
VASP energy in eV for the cell shown: -15.60
Symmetry: F-43m, No. 216

a b c (Å): 6.291 6.291 6.291
angles (deg): 60.00 60.00 60.00
Element x y z (fractional)
1 Cu 0.000 0.000 0.000
2 Te 0.624 0.624 0.624
3 Te 0.624 0.128 0.624
4 Te 0.624 0.624 0.128
5 Te 0.128 0.624 0.624
6 Te 0.250 0.250 0.250

---

Entry 6:
A plane-wave DFT calculation with GGA-PBE was carried out for crystalline Cu4Te5 at its relaxed geometry.

Summary:
Energy relative to the lowest polymorph listed for this composition in meV/atom: 201
E_form (uncorrected) in kJ per mole of atoms: 40.9
VASP energy in eV for the cell shown: -28.28
Symmetry: I4/mmm, No. 139

a b c (Å): 7.612 7.612 7.612
angles (deg): 93.80 93.80 150.17
Element x y z (fractional)
1 Te 0.676 0.676 0.353
2 Cu 0.000 0.616 0.616
3 Cu 0.000 0.384 0.384
4 Te 0.000 0.000 0.000
5 Te 0.324 0.676 0.000
6 Cu 0.616 0.000 0.616
7 Te 0.324 0.324 0.647
8 Te 0.676 0.324 0.000
9 Cu 0.384 0.000 0.384

---

Entry 7:
A plane-wave DFT calculation with GGA-PBE was carried out for crystalline Cu4Te at its relaxed geometry.

Summary:
Energy relative to the lowest polymorph listed for this composition in meV/atom: 750
E_form (uncorrected) in kJ per mole of atoms: 89.4
VASP energy in eV for the cell shown: -14.89
Symmetry: Pm-3m, No. 221

a b c (Å): 4.856 4.856 4.856
angles (deg): 90.00 90.00 90.00
Element x y z (fractional)
1 Cu 0.500 0.500 0.000
2 Cu 0.000 0.500 0.500
3 Cu 0.500 0.000 0.500
4 Te 0.500 0.500 0.500
5 Cu 0.000 0.000 0.000

---

Entry 8:
A plane-wave DFT calculation with GGA-PBE was carried out for crystalline Cu3Te at its relaxed geometry.

Summary:
E_form (uncorrected) in kJ per mole of atoms: 17.7
VASP energy in eV for the cell shown: -14.70
Symmetry: C2/m, No. 12

a b c (Å): 4.571 4.571 4.197
angles (deg): 74.63 74.63 49.70
Element x y z (fractional)
1 Cu 0.239 0.239 0.308
2 Cu 0.500 0.500 0.500
3 Te 0.000 0.000 0.000
4 Cu 0.761 0.761 0.692

---

Entry 9:
A plane-wave DFT calculation with GGA-PBE was carried out for crystalline CuTe4 at its relaxed geometry.

Summary:
Energy relative to the lowest polymorph listed for this composition in meV/atom: 284
E_form (uncorrected) in kJ per mole of atoms: 36.3
VASP energy in eV for the cell shown: -14.78
Symmetry: Pm-3m, No. 221

a b c (Å): 5.163 5.163 5.163
angles (deg): 90.00 90.00 90.00
Element x y z (fractional)
1 Te 0.000 0.500 0.500
2 Te 0.500 0.000 0.500
3 Te 0.000 0.000 0.000
4 Cu 0.500 0.500 0.500
5 Te 0.500 0.500 0.000

---

Entry 10:
A plane-wave DFT calculation with GGA-PBE was carried out for crystalline CuTe4 at its relaxed geometry.

Summary:
Energy relative to the lowest polymorph listed for this composition in meV/atom: 282
E_form (uncorrected) in kJ per mole of atoms: 36.2
VASP energy in eV for the cell shown: -14.79
Symmetry: I4/mmm, No. 139

a b c (Å): 10.473 10.473 10.473
angles (deg): 157.50 157.50 32.04
Element x y z (fractional)
1 Te 0.433 0.433 0.000
2 Te 0.567 0.567 0.000
3 Te 0.250 0.750 0.500
4 Te 0.750 0.250 0.500
5 Cu 0.000 0.000 0.000

---

Entry 11:
A plane-wave DFT calculation with GGA-PBE was carried out for crystalline Cu7Te at its relaxed geometry.

Summary:
E_form (uncorrected) in kJ per mole of atoms: 15.3
VASP energy in eV for the cell shown: -30.54
Symmetry: Fm-3m, No. 225

a b c (Å): 5.366 5.366 5.366
angles (deg): 60.00 60.00 60.00
Element x y z (fractional)
1 Cu 0.000 0.000 0.500
2 Cu 0.500 0.500 0.000
3 Te 0.000 0.000 0.000
4 Cu 0.000 0.500 0.500
5 Cu 0.500 0.000 0.500
6 Cu 0.000 0.500 0.000
7 Cu 0.500 0.500 0.500
8 Cu 0.500 0.000 0.000

---

Entry 12:
A plane-wave DFT calculation with GGA-PBE was carried out for crystalline Cu3Te at its relaxed geometry.

Summary:
E_form (uncorrected) in kJ per mole of atoms: 14.2
VASP energy in eV for the cell shown: -14.84
Symmetry: Pm-3m, No. 221

a b c (Å): 3.955 3.955 3.955
angles (deg): 90.00 90.00 90.00
Element x y z (fractional)
1 Cu 0.500 0.000 0.500
2 Cu 0.000 0.500 0.500
3 Te 0.000 0.000 0.000
4 Cu 0.500 0.500 0.000

---

The highest E_form (uncorrected) belongs to which entry? Cu4Te